(1)
VASP calculation (PBE) on BaLaGa2Fe after structural relaxation.

a = 4.988 Å, b = 4.988 Å, c = 4.938 Å
α = 90.00°, β = 90.00°, γ = 90.00°
Fractional coordinates of all 5 atoms:
Ba: 0.000 0.000 0.000
La: 0.500 0.500 0.000
Ga: 0.000 0.500 0.500
Ga: 0.500 0.000 0.500
Fe: 0.500 0.500 0.500

Computed properties:
The calculated total energy comes out at -0.16570 hartree per atom. The symmetry is P4/mmm, No. 123. The calculation puts the energy relative to the elements at -22.7 kJ per mole of atoms.



(2)
VASP calculation (PBE) on BaLa2GaFe after structural relaxation.

a = 5.347 Å, b = 5.347 Å, c = 5.070 Å
α = 90.00°, β = 90.00°, γ = 90.00°
Fractional coordinates of all 5 atoms:
Ba: 0.000 0.000 0.000
La: 0.000 0.500 0.500
La: 0.500 0.000 0.500
Ga: 0.500 0.500 0.000
Fe: 0.500 0.500 0.500

Computed properties:
The calculated total energy comes out at -0.17281 hartree per atom. The symmetry is P4/mmm, No. 123. The calculation puts the energy relative to the elements at -4.7 kJ per mole of atoms.



(3)
VASP calculation (PBE) on BaLi2GaFe after structural relaxation.

a = 4.968 Å, b = 4.968 Å, c = 4.700 Å
α = 90.00°, β = 90.00°, γ = 90.00°
Fractional coordinates of all 5 atoms:
Ba: 0.000 0.000 0.000
Li: 0.000 0.500 0.500
Li: 0.500 0.000 0.500
Ga: 0.500 0.500 0.000
Fe: 0.500 0.500 0.500

Computed properties:
The calculated total energy comes out at -0.12033 hartree per atom. The symmetry is P4/mmm, No. 123. The calculation puts the energy relative to the elements at 16.7 kJ per mole of atoms.